(1)
# Ti2Sn2S

A geometry-optimized Ti2Sn2S structure (PBE, Alexandria via LeMat-Bulk). Values from VASP.

Computed properties:
* calculated density: 6.2 Mg/m³
* space group: No. 127
* crystal system: tetragonal
* formation energy without anion corrections: -461.0 meV/atom

Cell and atoms, written as Quantum ESPRESSO input:
```
&SYSTEM
  ibrav = 0, nat = 10, ntyp = 3
/
ATOMIC_SPECIES
Sn 118.71 Sn.upf
Ti 47.87 Ti.upf
S 32.06 S.upf
ATOMIC_POSITIONS angstrom
Sn 2.1536 1.0479 2.3850
Ti 0.9953 2.2061 0.0000
S 0.0000 0.0000 0.0000
Ti 5.4076 4.1968 0.0000
Sn 1.0479 4.2493 2.3850
S 3.2015 3.2015 0.0000
Ti 2.2061 5.4076 0.0000
Ti 4.1968 0.9953 0.0000
Sn 5.3551 2.1536 2.3850
Sn 4.2493 5.3551 2.3850
CELL_PARAMETERS angstrom
6.4029 0.0000 0.0000
0.0000 6.4029 0.0000
0.0000 0.0000 4.7699
```

***

(2)
# Ti6SnS

A geometry-optimized Ti6SnS structure (PBE, Alexandria via LeMat-Bulk). Values from VASP.

Computed properties:
* calculated density: 5.0 Mg/m³
* space group: No. 166
* crystal system: trigonal
* formation energy without anion corrections: -337.7 meV/atom

Cell and atoms, written as Quantum ESPRESSO input:
```
&SYSTEM
  ibrav = 0, nat = 8, ntyp = 3
/
ATOMIC_SPECIES
Ti 47.87 Ti.upf
Sn 118.71 Sn.upf
S 32.06 S.upf
ATOMIC_POSITIONS angstrom
Ti -1.5961 0.6713 2.7102
Sn 0.0000 0.0000 0.0000
Ti -1.5738 -1.7427 4.3092
Ti -0.2700 -2.6016 1.8699
S -2.2803 -1.4662 2.1147
Ti -4.2907 -0.3308 2.3595
Ti -2.9869 -1.1897 -0.0799
Ti -2.9646 -3.6037 1.5191
CELL_PARAMETERS angstrom
-1.4693 3.0690 4.2704
-4.7574 -1.3308 -2.3259
1.6660 -4.6706 2.2849
```

***

(3)
# Ti2SnS2

A geometry-optimized Ti2SnS2 structure (PBE, Alexandria via LeMat-Bulk). Values from VASP.

Computed properties:
* calculated density: 5.5 Mg/m³
* space group: No. 127
* crystal system: tetragonal
* formation energy without anion corrections: -760.7 meV/atom

Cell and atoms, written as Quantum ESPRESSO input:
```
&SYSTEM
  ibrav = 0, nat = 10, ntyp = 3
/
ATOMIC_SPECIES
S 32.06 S.upf
Ti 47.87 Ti.upf
Sn 118.71 Sn.upf
ATOMIC_POSITIONS angstrom
S -1.4453 -6.4599 -2.4789
Ti 0.8773 -7.5081 -2.1759
S 0.7019 -4.3602 2.3810
Ti 1.0439 -2.5661 0.5785
Ti -0.5431 -3.8314 -2.8710
Ti 2.4643 -6.2428 1.2736
S 0.7044 -7.9789 0.5855
S -1.4478 -2.8412 -0.6834
Sn 0.9606 -5.0371 -0.7987
Sn 0.0000 0.0000 0.0000
CELL_PARAMETERS angstrom
-1.6287 -4.8186 -5.2911
3.5498 -5.2557 3.6937
-2.6645 -0.7459 1.4994
```

***

Among the records above, which one has the highest calculated density?
Ti2Sn2S